[1]
## BeFe2Ir (PBE)

Data for crystalline BeFe2Ir at its relaxed geometry.

Structure (CIF):
```
data_BeFe2Ir
_cell_length_a 2.5906
_cell_length_b 2.5906
_cell_length_c 7.7635
_cell_angle_alpha 90.00
_cell_angle_beta 90.00
_cell_angle_gamma 113.57
_symmetry_space_group_name_H-M 'P 1'
_symmetry_Int_Tables_number 1
loop_
_symmetry_equiv_pos_as_xyz
'x,y,z'
loop_
_atom_site_label
_atom_site_fract_x
_atom_site_fract_y
_atom_site_fract_z
Be1 0.5000 0.5000 0.7563
Ir1 0.0000 0.0000 0.5213
Fe1 0.0000 0.0000 0.9853
Fe2 0.5000 0.5000 0.2371
```

Density   10.881 g/cm3
Space-group type   Cmm2 (35)
N(E_F)   3.223 states/eV/f.u.
ΔH_f (0 K)   0.00 eV/atom



[2]
## Nd4AsP2Se (PBE)

Data for crystalline Nd4AsP2Se at its relaxed geometry.

Structure (CIF):
```
data_Nd4AsP2Se
_cell_length_a 4.2044
_cell_length_b 7.3082
_cell_length_c 7.2807
_cell_angle_alpha 70.70
_cell_angle_beta 90.00
_cell_angle_gamma 90.00
_symmetry_space_group_name_H-M 'P 1'
_symmetry_Int_Tables_number 1
loop_
_symmetry_equiv_pos_as_xyz
'x,y,z'
loop_
_atom_site_label
_atom_site_fract_x
_atom_site_fract_y
_atom_site_fract_z
Nd1 0.0000 0.7630 0.7418
Nd2 0.0000 0.2370 0.2582
Nd3 0.5000 0.7593 0.2500
Nd4 0.5000 0.2407 0.7500
As1 0.0000 0.5000 0.5000
P1 0.0000 0.0000 0.0000
P2 0.5000 0.0000 0.5000
Se1 0.5000 0.5000 0.0000
```

Density   6.235 g/cm3
Formation energy from raw total energies   -1.67 eV/atom
Space-group type   P2/m (10)
N(E_F)   1.361 states/eV/f.u.